P:
Density functional theory data (GGA-PBE) for crystalline Ca2Hg2I at its relaxed geometry.

a b c (Å): 8.796 8.796 3.968
angles (deg): 90.00 90.00 90.00
Fractional positions:
I1 0.000 0.000 0.000
I2 0.500 0.500 0.000
Ca1 0.171 0.671 0.500
Ca2 0.671 0.829 0.500
Ca3 0.829 0.329 0.500
Ca4 0.329 0.171 0.500
Hg1 0.376 0.876 0.000
Hg2 0.876 0.624 0.000
Hg3 0.624 0.124 0.000
Hg4 0.124 0.376 0.000

Output
D(E_F), states/eV per cell: 8.93
SG: P4/mbm, No. 127



Q:
Density functional theory data (GGA-PBE) for crystalline Ca2Hg2I at its relaxed geometry.

a b c (Å): 8.570 8.570 4.356
angles (deg): 90.00 90.00 90.00
Fractional positions:
I1 0.000 0.000 0.000
I2 0.500 0.500 0.000
Ca1 0.331 0.831 0.000
Ca2 0.831 0.669 0.000
Ca3 0.669 0.169 0.000
Ca4 0.169 0.331 0.000
Hg1 0.127 0.627 0.500
Hg2 0.627 0.873 0.500
Hg3 0.873 0.373 0.500
Hg4 0.373 0.127 0.500

Output
D(E_F), states/eV per cell: 8.49
SG: P4/mbm, No. 127



Relative energies with respect to the most stable structure, expressed in meV/atom: P 62; Q 0.